Version a
# LaScSi2 (meta-GGA SCAN, PBEsol geometry)
data_LaScSi2
_symmetry_space_group_name_H-M 'A m m 2'
_symmetry_Int_Tables_number 38
_cell_length_a 3.803
_cell_length_b 4.238
_cell_length_c 10.706
_cell_angle_alpha 90.00
_cell_angle_beta 90.00
_cell_angle_gamma 90.00
loop_
_symmetry_equiv_pos_as_xyz
'x,y,z'
'-x,-y,z'
'-x,y,z'
'x,-y,z'
'x,y+1/2,z+1/2'
'-x,-y+1/2,z+1/2'
'-x,y+1/2,z+1/2'
'x,-y+1/2,z+1/2'
loop_
_atom_site_label
_atom_site_fract_x
_atom_site_fract_y
_atom_site_fract_z
La1 0.000 0.000 0.000
Sc1 0.500 0.000 0.275
Si1 0.000 0.000 0.723
Si2 0.500 0.000 0.580
# spin magnetization: 0.00 Bohr magnetons per cell
# theoretical density: 4.6 g cm⁻³

=====

Version b
# LaScSi2 (meta-GGA SCAN, PBEsol geometry)
data_LaScSi2
_symmetry_space_group_name_H-M 'C 1 2/m 1'
_symmetry_Int_Tables_number 12
_cell_length_a 8.773
_cell_length_b 3.825
_cell_length_c 5.630
_cell_angle_alpha 90.00
_cell_angle_beta 111.07
_cell_angle_gamma 90.00
loop_
_symmetry_equiv_pos_as_xyz
'x,y,z'
'-x,-y,-z'
'-x,y,-z'
'x,-y,z'
'x+1/2,y+1/2,z'
'-x+1/2,-y+1/2,-z'
'-x+1/2,y+1/2,-z'
'x+1/2,-y+1/2,z'
loop_
_atom_site_label
_atom_site_fract_x
_atom_site_fract_y
_atom_site_fract_z
La1 0.000 0.000 0.000
Sc1 0.000 0.500 0.500
Si1 0.237 0.000 0.642
# spin magnetization: 0.00 Bohr magnetons per cell
# theoretical density: 4.5 g cm⁻³

=====

Q: Which of them is the most stable? A: version a.

=====

Version a
# SrLaSc2 (meta-GGA SCAN, PBEsol geometry)
data_SrLaSc2
_symmetry_space_group_name_H-M 'P 1 m 1'
_symmetry_Int_Tables_number 6
_cell_length_a 3.471
_cell_length_b 5.416
_cell_length_c 6.944
_cell_angle_alpha 90.00
_cell_angle_beta 104.34
_cell_angle_gamma 90.00
loop_
_symmetry_equiv_pos_as_xyz
'x,y,z'
'x,-y,z'
loop_
_atom_site_label
_atom_site_fract_x
_atom_site_fract_y
_atom_site_fract_z
Sr1 0.000 0.000 0.000
La1 0.669 0.500 0.332
Sc1 0.267 0.000 0.529
Sc2 0.378 0.500 0.755
# spin magnetization: 1.37 Bohr magnetons per cell
# theoretical density: 4.2 g cm⁻³

=====

Version b
# SrLaSc2 (meta-GGA SCAN, PBEsol geometry)
data_SrLaSc2
_symmetry_space_group_name_H-M 'F -4 3 m'
_symmetry_Int_Tables_number 216
_symmetry_space_group_name_Hall 'F -4 2 3'
_cell_length_a 7.926
_cell_length_b 7.926
_cell_length_c 7.926
_cell_angle_alpha 90.00
_cell_angle_beta 90.00
_cell_angle_gamma 90.00
loop_
_atom_site_label
_atom_site_fract_x
_atom_site_fract_y
_atom_site_fract_z
Sr1 0.000 0.000 0.000
La1 0.250 0.250 0.250
Sc1 0.000 0.000 0.500
Sc2 0.250 0.250 0.750
# spin magnetization: 3.17 Bohr magnetons per cell
# theoretical density: 4.2 g cm⁻³

=====

Q: Which of them is the most stable? A: version a.

=====

Version a
# LaSc2Tc (meta-GGA SCAN, PBEsol geometry)
data_LaSc2Tc
_symmetry_space_group_name_H-M 'C m m m'
_symmetry_Int_Tables_number 65
_symmetry_space_group_name_Hall '-C 2 2'
_cell_length_a 4.595
_cell_length_b 4.605
_cell_length_c 8.657
_cell_angle_alpha 90.00
_cell_angle_beta 90.00
_cell_angle_gamma 90.00
loop_
_atom_site_label
_atom_site_fract_x
_atom_site_fract_y
_atom_site_fract_z
La1 0.000 0.000 0.000
Sc1 0.000 0.500 0.326
Tc1 0.000 0.000 0.500
# spin magnetization: 0.00 Bohr magnetons per cell
# theoretical density: 5.9 g cm⁻³

=====

Version b
# LaSc2Tc (meta-GGA SCAN, PBEsol geometry)
data_LaSc2Tc
_symmetry_space_group_name_H-M 'P 4/m m m'
_symmetry_Int_Tables_number 123
_symmetry_space_group_name_Hall '-P 4 2'
_cell_length_a 4.181
_cell_length_b 4.181
_cell_length_c 4.864
_cell_angle_alpha 90.00
_cell_angle_beta 90.00
_cell_angle_gamma 90.00
loop_
_atom_site_label
_atom_site_fract_x
_atom_site_fract_y
_atom_site_fract_z
La1 0.000 0.000 0.000
Sc1 0.000 0.500 0.500
Tc1 0.500 0.500 0.000
# spin magnetization: 0.00 Bohr magnetons per cell
# theoretical density: 6.4 g cm⁻³

=====

Q: Which of them is the most stable? A: version a.

=====

Version a
# LaScTe2 (meta-GGA SCAN, PBEsol geometry)
data_LaScTe2
_symmetry_space_group_name_H-M 'R -3 m'
_symmetry_Int_Tables_number 166
_symmetry_space_group_name_Hall '-R 3 2"'
_cell_length_a 4.2573
_cell_length_b 4.2573
_cell_length_c 21.5819
_cell_angle_alpha 90.00
_cell_angle_beta 90.00
_cell_angle_gamma 120.00
loop_
_atom_site_label
_atom_site_fract_x
_atom_site_fract_y
_atom_site_fract_z
La1 0.0000 0.0000 0.0000
Sc1 0.0000 0.0000 0.5000
Te1 0.0000 0.0000 0.2396
# spin magnetization: 0.00 Bohr magnetons per cell
# theoretical density: 6.5 g cm⁻³

=====

Version b
# LaScTe2 (meta-GGA SCAN, PBEsol geometry)
data_LaScTe2
_symmetry_space_group_name_H-M 'F m -3 m'
_symmetry_Int_Tables_number 225
_symmetry_space_group_name_Hall '-F 4 2 3'
_cell_length_a 7.491
_cell_length_b 7.491
_cell_length_c 7.491
_cell_angle_alpha 90.00
_cell_angle_beta 90.00
_cell_angle_gamma 90.00
loop_
_atom_site_label
_atom_site_fract_x
_atom_site_fract_y
_atom_site_fract_z
La1 0.000 0.000 0.000
Sc1 0.000 0.000 0.500
Te1 0.250 0.250 0.250
# spin magnetization: 7.33 Bohr magnetons per cell
# theoretical density: 6.9 g cm⁻³

=====

Q: Which of them is the most stable? A: version a.

=====

Version a
# LaSc2Tl (meta-GGA SCAN, PBEsol geometry)
data_LaSc2Tl
_symmetry_space_group_name_H-M 'F m -3 m'
_symmetry_Int_Tables_number 225
_symmetry_space_group_name_Hall '-F 4 2 3'
_cell_length_a 7.242
_cell_length_b 7.242
_cell_length_c 7.242
_cell_angle_alpha 90.00
_cell_angle_beta 90.00
_cell_angle_gamma 90.00
loop_
_atom_site_label
_atom_site_fract_x
_atom_site_fract_y
_atom_site_fract_z
La1 0.000 0.000 0.000
Sc1 0.250 0.250 0.250
Tl1 0.000 0.000 0.500
# spin magnetization: 12.99 Bohr magnetons per cell
# theoretical density: 7.6 g cm⁻³

=====

Version b
# LaSc2Tl (meta-GGA SCAN, PBEsol geometry)
data_LaSc2Tl
_symmetry_space_group_name_H-M 'I m m 2'
_symmetry_Int_Tables_number 44
_cell_length_a 3.660
_cell_length_b 5.132
_cell_length_c 10.768
_cell_angle_alpha 90.00
_cell_angle_beta 90.00
_cell_angle_gamma 90.00
loop_
_symmetry_equiv_pos_as_xyz
'x,y,z'
'-x,-y,z'
'-x,y,z'
'x,-y,z'
'x+1/2,y+1/2,z+1/2'
'-x+1/2,-y+1/2,z+1/2'
'-x+1/2,y+1/2,z+1/2'
'x+1/2,-y+1/2,z+1/2'
loop_
_atom_site_label
_atom_site_fract_x
_atom_site_fract_y
_atom_site_fract_z
La1 0.000 0.000 0.000
Sc1 0.000 0.000 0.516
Sc2 0.000 0.500 0.760
Tl1 0.000 0.500 0.242
# spin magnetization: 0.00 Bohr magnetons per cell
# theoretical density: 7.1 g cm⁻³

=====

Version c
# LaSc2Tl (meta-GGA SCAN, PBEsol geometry)
data_LaSc2Tl
_symmetry_space_group_name_H-M 'I -4 m 2'
_symmetry_Int_Tables_number 119
_symmetry_space_group_name_Hall 'I -4 -2'
_cell_length_a 4.572
_cell_length_b 4.572
_cell_length_c 9.561
_cell_angle_alpha 90.00
_cell_angle_beta 90.00
_cell_angle_gamma 90.00
loop_
_atom_site_label
_atom_site_fract_x
_atom_site_fract_y
_atom_site_fract_z
La1 0.000 0.000 0.000
Sc1 0.000 0.000 0.500
Sc2 0.000 0.500 0.250
Tl1 0.000 0.500 0.750
# spin magnetization: 3.55 Bohr magnetons per cell
# theoretical density: 7.2 g cm⁻³

=====

Q: Which of them is the most stable? A: version c.

=====

Version a
# LaScZn2 (meta-GGA SCAN, PBEsol geometry)
data_LaScZn2
_symmetry_space_group_name_H-M 'P 4/m m m'
_symmetry_Int_Tables_number 123
_symmetry_space_group_name_Hall '-P 4 2'
_cell_length_a 3.432
_cell_length_b 3.432
_cell_length_c 7.195
_cell_angle_alpha 90.00
_cell_angle_beta 90.00
_cell_angle_gamma 90.00
loop_
_atom_site_label
_atom_site_fract_x
_atom_site_fract_y
_atom_site_fract_z
La1 0.000 0.000 0.000
Sc1 0.000 0.000 0.500
Zn1 0.500 0.500 0.297
# spin magnetization: 0.00 Bohr magnetons per cell
# theoretical density: 6.2 g cm⁻³

=====

Version b
# LaScZn2 (meta-GGA SCAN, PBEsol geometry)
data_LaScZn2
_symmetry_space_group_name_H-M 'F m -3 m'
_symmetry_Int_Tables_number 225
_symmetry_space_group_name_Hall '-F 4 2 3'
_cell_length_a 7.035
_cell_length_b 7.035
_cell_length_c 7.035
_cell_angle_alpha 90.00
_cell_angle_beta 90.00
_cell_angle_gamma 90.00
loop_
_atom_site_label
_atom_site_fract_x
_atom_site_fract_y
_atom_site_fract_z
La1 0.000 0.000 0.000
Sc1 0.000 0.000 0.500
Zn1 0.250 0.250 0.250
# spin magnetization: 0.00 Bohr magnetons per cell
# theoretical density: 6.0 g cm⁻³

=====

Q: Which of them is the most stable? A: version a.